Entry from Alexandria via LeMat-Bulk: a geometry-optimized RbH2Se structure (PBE).

The density of states at the Fermi level comes out at 0.805 states/eV/atom. For the energy above the most stable polymorph in this dataset, the calculation gives 103 meV per atom. The final energy comes out at -12.4 eV per cell. As for the space group: P-6m2. Its crystal system is hexagonal. As for the volume: 20.023 Å³ per atom.

Cell: 5.4193 5.4193 3.1489 Å, 90.00 90.00 120.00°
With the nearest neighbours (Å) after each atom.
Fractional positions:
Rb 0.3333 0.6667 0.5000  2 Rb 3.15, 6 H 3.15, 6 Se 3.50
H 0.6667 0.3333 0.3802  1 H 0.75
H 0.6667 0.3333 0.6198  1 H 0.75
Se 0.0000 0.0000 0.0000  2 Se 3.15, 6 H 3.35, 6 Rb 3.50

Entry from Alexandria via LeMat-Bulk: a geometry-optimized Tb3Pm2Dy6Pb structure (PBE).

The density of states at the Fermi level comes out at 1.118 states/eV/atom. The final energy comes out at -55.5 eV per cell. For the energy of formation, the calculation gives -0.0653 eV per atom. As for the space group: C2/m. Its crystal system is monoclinic. As for the volume: 31.238 Å³ per atom.

Cell: 6.1146 6.1146 11.7604 Å, 95.00 95.00 120.03°
With the nearest neighbours (Å) after each atom.
Fractional positions:
Tb 0.1676 0.8324 0.5000  6 Tb 3.52-3.55, 6 Dy 3.53-3.56
Tb 0.8324 0.1676 0.5000  6 Tb 3.52-3.55, 6 Dy 3.53-3.56
Tb 0.5000 0.5000 0.5000  6 Tb 3.52-3.53, 6 Dy 3.53-3.55
Pm 0.3339 0.6661 0.0000  3 Pm 3.52-3.53, 3 Pb 3.53-3.54, 6 Dy 3.55-3.56
Pm 0.6661 0.3339 0.0000  3 Pm 3.52-3.53, 3 Pb 3.53-3.54, 6 Dy 3.55-3.56
Dy 0.9174 0.5903 0.7503  6 Dy 3.46-3.56, 1 Pb 3.51, 3 Tb 3.53-3.56, 2 Pm 3.55
Dy 0.7560 0.7560 0.2510  6 Dy 3.46-3.56, 3 Tb 3.53-3.55, 1 Pb 3.53, 2 Pm 3.56
Dy 0.0826 0.4097 0.2497  6 Dy 3.46-3.56, 1 Pb 3.51, 3 Tb 3.53-3.56, 2 Pm 3.55
Dy 0.5903 0.9174 0.7503  6 Dy 3.46-3.56, 1 Pb 3.51, 3 Tb 3.53-3.56, 2 Pm 3.55
Dy 0.2440 0.2440 0.7490  6 Dy 3.46-3.56, 3 Tb 3.53-3.55, 1 Pb 3.53, 2 Pm 3.56
Dy 0.4097 0.0826 0.2497  6 Dy 3.46-3.56, 1 Pb 3.51, 3 Tb 3.53-3.56, 2 Pm 3.55
Pb 0.0000 0.0000 0.0000  6 Dy 3.51-3.53, 6 Pm 3.53-3.54

Entry from Alexandria via LeMat-Bulk: a geometry-optimized PmPrS2 structure (PBE).

The density of states at the Fermi level comes out at 0.650 states/eV/atom. For the energy above the most stable polymorph in this dataset, the calculation gives 505 meV per atom. The final energy comes out at -23.9 eV per cell. As for the space group: R-3m. The value obtained for the uncorrected formation energy is -1.52 eV/atom. Its crystal system is trigonal. As for the volume: 32.225 Å³ per atom.

Cell: 4.1902 4.1902 8.8156 Å, 76.25 76.25 60.00°
With the nearest neighbours (Å) after each atom.
Fractional positions:
Pr 0.5000 0.5000 0.5000  6 S 2.85
S 0.1072 0.1072 0.6785  1 Pm 2.73, 3 Pr 2.85
S 0.8928 0.8928 0.3215  1 Pm 2.73, 3 Pr 2.85
Pm 0.0000 0.0000 0.0000  2 S 2.73

Entry from Alexandria via LeMat-Bulk: a geometry-optimized BaTlS3 structure (PBE).

The density of states at the Fermi level comes out at 0.839 states/eV/atom. For the energy above the most stable polymorph in this dataset, the calculation gives 0 meV per atom. The final energy comes out at -19.5 eV per cell. As for the space group: Pm-3m. The value obtained for the uncorrected formation energy is -0.57 eV/atom. Its crystal system is cubic. As for the volume: 27.952 Å³ per atom.

Cell: 5.1895 5.1895 5.1895 Å, 90.00 90.00 90.00°
With the nearest neighbours (Å) after each atom.
Fractional positions:
S 0.0000 0.5000 0.0000  2 Tl 2.59
S 0.0000 0.0000 0.5000  2 Tl 2.59
S 0.5000 0.0000 0.0000  2 Tl 2.59
Tl 0.0000 0.0000 0.0000  6 S 2.59
Ba 0.5000 0.5000 0.5000  12 S 3.67

Entry from Alexandria via LeMat-Bulk: a geometry-optimized RbSn2BiCl8 structure (PBE).

The density of states at the Fermi level comes out at 0.000 states/eV/atom. The final energy comes out at -41.6 eV per cell. As for the space group: P-1. The value obtained for the uncorrected formation energy is -1.16 eV/atom. Its crystal system is triclinic. As for the volume: 34.962 Å³ per atom.

Cell: 6.9912 6.5726 9.1628 Å, 87.93 86.26 87.64°
With the nearest neighbours (Å) after each atom.
Fractional positions:
Rb 0.0000 0.0000 0.5000  6 Cl 3.24-3.29
Sn 0.4815 0.4877 0.7506  2 Cl 2.55-2.71
Sn 0.5185 0.5123 0.2494  2 Cl 2.55-2.71
Bi 0.0000 0.0000 0.0000  6 Cl 2.73-2.77
Cl 0.1818 0.7762 0.2104  1 Bi 2.73, 1 Sn 2.90
Cl 0.6831 0.7588 0.0383  1 Sn 2.71, 1 Bi 2.77
Cl 0.8586 0.2572 0.2141  1 Bi 2.74, 1 Sn 2.86
Cl 0.8182 0.2238 0.7896  1 Bi 2.73, 1 Sn 2.90
Cl 0.3169 0.2412 0.9617  1 Sn 2.71, 1 Bi 2.77
Cl 0.1414 0.7428 0.7859  1 Bi 2.74, 1 Sn 2.86
Cl 0.6316 0.7186 0.4560  1 Sn 2.55
Cl 0.3684 0.2814 0.5440  1 Sn 2.55

Entry from Alexandria via LeMat-Bulk: a geometry-optimized Li2TiPb2 structure (PBE).

The density of states at the Fermi level comes out at 0.495 states/eV/atom. For the energy above the most stable polymorph in this dataset, the calculation gives 5 meV per atom. The final energy comes out at -38.3 eV per cell. For the energy of formation, the calculation gives -0.0016 eV per atom. As for the space group: P4/mbm. Its crystal system is tetragonal. As for the volume: 19.776 Å³ per atom.

Cell: 7.8768 7.8768 3.1875 Å, 90.00 90.00 90.00°
With the nearest neighbours (Å) after each atom.
Fractional positions:
Pb 0.1829 0.6829 0.5000  6 Li 2.76-2.89
Pb 0.6829 0.8171 0.5000  6 Li 2.76-2.89
Pb 0.8171 0.3171 0.5000  6 Li 2.76-2.89
Pb 0.3171 0.1829 0.5000  6 Li 2.76-2.89
Li 0.3851 0.8851 0.0000  1 Li 2.56, 2 Pb 2.76
Li 0.8851 0.6149 0.0000  1 Li 2.56, 2 Pb 2.76
Li 0.6149 0.1149 0.0000  1 Li 2.56, 2 Pb 2.76
Li 0.1149 0.3851 0.0000  1 Li 2.56, 2 Pb 2.76
Ti 0.0000 0.0000 0.0000  4 Li 3.17, 2 Ti 3.19, 8 Pb 3.29
Ti 0.5000 0.5000 0.0000  4 Li 3.17, 2 Ti 3.19, 8 Pb 3.29

Entry from Alexandria via LeMat-Bulk: a geometry-optimized LiRe3B structure (PBE).

The density of states at the Fermi level comes out at 0.837 states/eV/atom. For the energy above the most stable polymorph in this dataset, the calculation gives 0 meV per atom. The final energy comes out at -43.4 eV per cell. For the energy of formation, the calculation gives 0.5114 eV per atom. As for the space group: Pm-3m. Its crystal system is cubic. As for the volume: 13.934 Å³ per atom.

Cell: 4.1148 4.1148 4.1148 Å, 90.00 90.00 90.00°
With the nearest neighbours (Å) after each atom.
Fractional positions:
Re 0.0000 0.5000 0.0000  2 B 2.06
Re 0.0000 0.0000 0.5000  2 B 2.06
Re 0.5000 0.0000 0.0000  2 B 2.06
B 0.0000 0.0000 0.0000  6 Re 2.06
Li 0.5000 0.5000 0.5000  12 Re 2.91

Entry from Alexandria via LeMat-Bulk: a geometry-optimized Zn24Ag5 structure (PBE).

The density of states at the Fermi level comes out at 0.168 states/eV/atom. The final energy comes out at -44.3 eV per cell. For the energy of formation, the calculation gives 0.0190 eV per atom. As for the space group: I-43m. Its crystal system is cubic. As for the volume: 15.466 Å³ per atom.

Cell: 8.3522 8.3522 8.3522 Å, 109.47 109.47 109.47°
With the nearest neighbours (Å) after each atom.
Fractional positions:
Ag 0.0000 0.6442 0.0000  9 Zn 2.73-2.93, 1 Ag 2.97
Ag 0.6442 0.0000 0.0000  9 Zn 2.73-2.93, 1 Ag 2.97
Ag 0.0000 0.0000 0.6442  9 Zn 2.73-2.93, 1 Ag 2.97
Ag 0.3558 0.3558 0.3558  9 Zn 2.73-2.93, 1 Ag 2.97
Ag 0.0000 0.0000 0.0000  4 Ag 2.97, 12 Zn 3.03
Zn 0.1889 0.3785 0.0000  8 Zn 2.58-2.79
Zn 0.3785 0.1889 0.0000  8 Zn 2.58-2.79
Zn 0.8111 0.8111 0.1896  8 Zn 2.58-2.79
Zn 0.6215 0.6215 0.8104  8 Zn 2.58-2.79
Zn 0.8111 0.1896 0.8111  8 Zn 2.58-2.79
Zn 0.6215 0.8104 0.6215  8 Zn 2.58-2.79
Zn 0.3785 0.0000 0.1889  8 Zn 2.58-2.79
Zn 0.1889 0.0000 0.3785  8 Zn 2.58-2.79
Zn 0.0000 0.3785 0.1889  8 Zn 2.58-2.79
Zn 0.0000 0.1889 0.3785  8 Zn 2.58-2.79
Zn 0.8104 0.6215 0.6215  8 Zn 2.58-2.79
Zn 0.1896 0.8111 0.8111  8 Zn 2.58-2.79
Zn 0.6811 0.4106 0.0000  7 Zn 2.59-2.79, 1 Ag 2.73
Zn 0.4106 0.6811 0.0000  7 Zn 2.59-2.79, 1 Ag 2.73
Zn 0.3189 0.3189 0.7295  7 Zn 2.59-2.79, 1 Ag 2.73
Zn 0.5894 0.5894 0.2705  7 Zn 2.59-2.79, 1 Ag 2.73
Zn 0.3189 0.7295 0.3189  7 Zn 2.59-2.79, 1 Ag 2.73
Zn 0.5894 0.2705 0.5894  7 Zn 2.59-2.79, 1 Ag 2.73
Zn 0.4106 0.0000 0.6811  7 Zn 2.59-2.79, 1 Ag 2.73
Zn 0.6811 0.0000 0.4106  7 Zn 2.59-2.79, 1 Ag 2.73
Zn 0.0000 0.4106 0.6811  7 Zn 2.59-2.79, 1 Ag 2.73
Zn 0.0000 0.6811 0.4106  7 Zn 2.59-2.79, 1 Ag 2.73
Zn 0.2705 0.5894 0.5894  7 Zn 2.59-2.79, 1 Ag 2.73
Zn 0.7295 0.3189 0.3189  7 Zn 2.59-2.79, 1 Ag 2.73

Entry from Alexandria via LeMat-Bulk: a geometry-optimized ScGaAg structure (PBE).

The density of states at the Fermi level comes out at 0.927 states/eV/atom. The final energy comes out at -26.6 eV per cell. For the energy of formation, the calculation gives -0.3610 eV per atom. As for the space group: Cmcm. Its crystal system is orthorhombic. As for the volume: 18.989 Å³ per atom.

Cell: 4.1761 5.2591 5.6522 Å, 90.00 90.00 113.39°
With the nearest neighbours (Å) after each atom.
Fractional positions:
Sc 0.1953 0.3906 0.7500  5 Ga 2.78-2.99
Sc 0.8047 0.6094 0.2500  5 Ga 2.78-2.99
Ga 0.1146 0.2292 0.2500  4 Ag 2.75, 5 Sc 2.78-2.99
Ga 0.8854 0.7708 0.7500  4 Ag 2.75, 5 Sc 2.78-2.99
Ag 0.5000 0.0000 0.5000  4 Ga 2.75, 2 Ag 2.83
Ag 0.5000 0.0000 0.0000  4 Ga 2.75, 2 Ag 2.83

Entry from Alexandria via LeMat-Bulk: a geometry-optimized CeNb6S8 structure (PBE).

The density of states at the Fermi level comes out at 1.035 states/eV/atom. The final energy comes out at -115.4 eV per cell. As for the space group: R-3. The value obtained for the uncorrected formation energy is -1.07 eV/atom. Its crystal system is trigonal. As for the volume: 19.727 Å³ per atom.

Cell: 6.6687 6.6687 6.6687 Å, 87.76 87.76 87.76°
With the nearest neighbours (Å) after each atom.
Fractional positions:
Ce 0.0000 0.0000 0.0000  2 S 2.80
Nb 0.5908 0.4427 0.7968  5 S 2.49-2.55
Nb 0.4427 0.7968 0.5908  5 S 2.49-2.55
Nb 0.7968 0.5908 0.4427  5 S 2.49-2.55
Nb 0.4092 0.5573 0.2032  5 S 2.49-2.55
Nb 0.5573 0.2032 0.4092  5 S 2.49-2.55
Nb 0.2032 0.4092 0.5573  5 S 2.49-2.55
S 0.7663 0.7663 0.7663  3 Nb 2.49
S 0.2337 0.2337 0.2337  3 Nb 2.49
S 0.6099 0.8687 0.2457  4 Nb 2.53-2.55
S 0.8687 0.2457 0.6099  4 Nb 2.53-2.55
S 0.2457 0.6099 0.8687  4 Nb 2.53-2.55
S 0.3901 0.1313 0.7543  4 Nb 2.53-2.55
S 0.1313 0.7543 0.3901  4 Nb 2.53-2.55
S 0.7543 0.3901 0.1313  4 Nb 2.53-2.55